[1]
# IrW3

A relaxed IrW3 crystal (PBE, Alexandria via LeMat-Bulk).

The structure in CIF format:
```
data_IrW3
_cell_length_a 3.531
_cell_length_b 4.222
_cell_length_c 8.490
_cell_angle_alpha 90.00
_cell_angle_beta 90.00
_cell_angle_gamma 90.00
_symmetry_space_group_name_H-M 'C m m m'
_symmetry_Int_Tables_number 65
_symmetry_space_group_name_Hall '-C 2 2'
loop_
_atom_site_label
_atom_site_type_symbol
_atom_site_fract_x
_atom_site_fract_y
_atom_site_fract_z
Ir1 Ir 0.000 0.000 0.000
W1 W 0.000 0.000 0.500
W2 W 0.000 0.500 0.237
```

[2]
# IrW5

A relaxed IrW5 crystal (PBE, Alexandria via LeMat-Bulk).

The structure in CIF format:
```
data_IrW5
_cell_length_a 7.347
_cell_length_b 7.347
_cell_length_c 7.347
_cell_angle_alpha 90.00
_cell_angle_beta 90.00
_cell_angle_gamma 90.00
_symmetry_space_group_name_H-M 'F -4 3 m'
_symmetry_Int_Tables_number 216
_symmetry_space_group_name_Hall 'F -4 2 3'
loop_
_atom_site_label
_atom_site_type_symbol
_atom_site_fract_x
_atom_site_fract_y
_atom_site_fract_z
Ir1 Ir 0.000 0.000 0.000
W1 W 0.124 0.124 0.376
W2 W 0.250 0.250 0.750
```

Summary:
Relative energy among the computed polymorphs, meV per atom: 244

[3]
# Ir5W

A relaxed Ir5W crystal (PBE, Alexandria via LeMat-Bulk).

The structure in CIF format:
```
data_Ir5W
_cell_length_a 4.423
_cell_length_b 2.781
_cell_length_c 14.382
_cell_angle_alpha 90.00
_cell_angle_beta 90.00
_cell_angle_gamma 90.00
_symmetry_space_group_name_H-M 'A m m 2'
_symmetry_Int_Tables_number 38
loop_
_symmetry_equiv_pos_as_xyz
'x,y,z'
'-x,-y,z'
'-x,y,z'
'x,-y,z'
'x,y+1/2,z+1/2'
'-x,-y+1/2,z+1/2'
'-x,y+1/2,z+1/2'
'x,-y+1/2,z+1/2'
loop_
_atom_site_label
_atom_site_type_symbol
_atom_site_fract_x
_atom_site_fract_y
_atom_site_fract_z
Ir1 Ir 0.000 0.000 0.000
Ir2 Ir 0.000 0.000 0.330
Ir3 Ir 0.500 0.000 0.220
Ir4 Ir 0.500 0.000 0.552
Ir5 Ir 0.500 0.000 0.886
W1 W 0.000 0.000 0.663
```

Summary:
Relative energy among the computed polymorphs, meV per atom: 59

[4]
# Ir3W

A relaxed Ir3W crystal (PBE, Alexandria via LeMat-Bulk).

The structure in CIF format:
```
data_Ir3W
_cell_length_a 8.8090
_cell_length_b 8.8090
_cell_length_c 2.7252
_cell_angle_alpha 90.00
_cell_angle_beta 90.00
_cell_angle_gamma 120.00
_symmetry_space_group_name_H-M 'R -3 m'
_symmetry_Int_Tables_number 166
_symmetry_space_group_name_Hall '-R 3 2"'
loop_
_atom_site_label
_atom_site_type_symbol
_atom_site_fract_x
_atom_site_fract_y
_atom_site_fract_z
Ir1 Ir 0.0000 0.5000 0.0000
W1 W 0.0000 0.0000 0.0000
```

[5]
# IrW3

A relaxed IrW3 crystal (PBE, Alexandria via LeMat-Bulk).

The structure in CIF format:
```
data_IrW3
_cell_length_a 3.980
_cell_length_b 3.980
_cell_length_c 3.980
_cell_angle_alpha 90.00
_cell_angle_beta 90.00
_cell_angle_gamma 90.00
_symmetry_space_group_name_H-M 'P m -3 m'
_symmetry_Int_Tables_number 221
_symmetry_space_group_name_Hall '-P 4 2 3'
loop_
_atom_site_label
_atom_site_type_symbol
_atom_site_fract_x
_atom_site_fract_y
_atom_site_fract_z
Ir1 Ir 0.000 0.000 0.000
W1 W 0.000 0.500 0.500
```

[6]
# IrW5

A relaxed IrW5 crystal (PBE, Alexandria via LeMat-Bulk).

The structure in CIF format:
```
data_IrW5
_cell_length_a 4.693
_cell_length_b 2.694
_cell_length_c 15.238
_cell_angle_alpha 90.00
_cell_angle_beta 90.00
_cell_angle_gamma 90.00
_symmetry_space_group_name_H-M 'A m m 2'
_symmetry_Int_Tables_number 38
loop_
_symmetry_equiv_pos_as_xyz
'x,y,z'
'-x,-y,z'
'-x,y,z'
'x,-y,z'
'x,y+1/2,z+1/2'
'-x,-y+1/2,z+1/2'
'-x,y+1/2,z+1/2'
'x,-y+1/2,z+1/2'
loop_
_atom_site_label
_atom_site_type_symbol
_atom_site_fract_x
_atom_site_fract_y
_atom_site_fract_z
Ir1 Ir 0.000 0.000 0.000
W1 W 0.000 0.000 0.342
W2 W 0.000 0.000 0.666
W3 W 0.500 0.000 0.107
W4 W 0.500 0.000 0.445
W5 W 0.500 0.000 0.775
```

Summary:
Relative energy among the computed polymorphs, meV per atom: 68

[7]
# IrW2

A relaxed IrW2 crystal (PBE, Alexandria via LeMat-Bulk).

The structure in CIF format:
```
data_IrW2
_cell_length_a 6.096
_cell_length_b 6.096
_cell_length_c 6.096
_cell_angle_alpha 90.00
_cell_angle_beta 90.00
_cell_angle_gamma 90.00
_symmetry_space_group_name_H-M 'P a -3'
_symmetry_Int_Tables_number 205
_symmetry_space_group_name_Hall '-P 2ac 2ab 3'
loop_
_atom_site_label
_atom_site_type_symbol
_atom_site_fract_x
_atom_site_fract_y
_atom_site_fract_z
Ir1 Ir 0.000 0.000 0.000
W1 W 0.121 0.621 0.879
```

Summary:
Relative energy among the computed polymorphs, meV per atom: 1150

[8]
# Ir3W

A relaxed Ir3W crystal (PBE, Alexandria via LeMat-Bulk).

The structure in CIF format:
```
data_Ir3W
_cell_length_a 3.897
_cell_length_b 3.897
_cell_length_c 3.897
_cell_angle_alpha 90.00
_cell_angle_beta 90.00
_cell_angle_gamma 90.00
_symmetry_space_group_name_H-M 'P m -3 m'
_symmetry_Int_Tables_number 221
_symmetry_space_group_name_Hall '-P 4 2 3'
loop_
_atom_site_label
_atom_site_type_symbol
_atom_site_fract_x
_atom_site_fract_y
_atom_site_fract_z
Ir1 Ir 0.000 0.000 0.500
W1 W 0.500 0.500 0.500
```

[9]
# IrW3

A relaxed IrW3 crystal (PBE, Alexandria via LeMat-Bulk).

The structure in CIF format:
```
data_IrW3
_cell_length_a 2.743
_cell_length_b 9.273
_cell_length_c 4.965
_cell_angle_alpha 90.00
_cell_angle_beta 90.00
_cell_angle_gamma 90.00
_symmetry_space_group_name_H-M 'I m m 2'
_symmetry_Int_Tables_number 44
loop_
_symmetry_equiv_pos_as_xyz
'x,y,z'
'-x,-y,z'
'-x,y,z'
'x,-y,z'
'x+1/2,y+1/2,z+1/2'
'-x+1/2,-y+1/2,z+1/2'
'-x+1/2,y+1/2,z+1/2'
'x+1/2,-y+1/2,z+1/2'
loop_
_atom_site_label
_atom_site_type_symbol
_atom_site_fract_x
_atom_site_fract_y
_atom_site_fract_z
Ir1 Ir 0.000 0.000 0.000
W1 W 0.000 0.259 0.329
W2 W 0.000 0.500 0.997
```

[10]
# IrW2

A relaxed IrW2 crystal (PBE, Alexandria via LeMat-Bulk).

The structure in CIF format:
```
data_IrW2
_cell_length_a 3.923
_cell_length_b 3.923
_cell_length_c 24.338
_cell_angle_alpha 90.00
_cell_angle_beta 90.00
_cell_angle_gamma 90.00
_symmetry_space_group_name_H-M 'I 41/a m d'
_symmetry_Int_Tables_number 141
loop_
_symmetry_equiv_pos_as_xyz
'x,y,z'
'-x,-y,-z'
'-y+1/4,x+3/4,z+1/4'
'y+1/4,-x+3/4,-z+1/4'
'-x+1/2,-y,z+1/2'
'x+1/2,y,-z+1/2'
'y+1/4,-x+1/4,z+3/4'
'-y+1/4,x+1/4,-z+3/4'
'x,-y,-z'
'-x,y,z'
'-y+1/4,-x+1/4,-z+3/4'
'y+1/4,x+1/4,z+3/4'
'-x+1/2,y,-z+1/2'
'x+1/2,-y,z+1/2'
'y+1/4,x+3/4,-z+1/4'
'-y+1/4,-x+3/4,z+1/4'
'x+1/2,y+1/2,z+1/2'
'-x+1/2,-y+1/2,-z+1/2'
'-y+3/4,x+1/4,z+3/4'
'y+3/4,-x+1/4,-z+3/4'
'-x,-y+1/2,z'
'x,y+1/2,-z'
'y+3/4,-x+3/4,z+1/4'
'-y+3/4,x+3/4,-z+1/4'
'x+1/2,-y+1/2,-z+1/2'
'-x+1/2,y+1/2,z+1/2'
'-y+3/4,-x+3/4,-z+1/4'
'y+3/4,x+3/4,z+1/4'
'-x,y+1/2,-z'
'x,-y+1/2,z'
'y+3/4,x+1/4,-z+3/4'
'-y+3/4,-x+1/4,z+3/4'
loop_
_atom_site_label
_atom_site_type_symbol
_atom_site_fract_x
_atom_site_fract_y
_atom_site_fract_z
Ir1 Ir 0.000 0.250 0.290
W1 W 0.000 0.250 0.124
W2 W 0.000 0.250 0.789
```

Summary:
Relative energy among the computed polymorphs, meV per atom: 46

[11]
# IrW2

A relaxed IrW2 crystal (PBE, Alexandria via LeMat-Bulk).

The structure in CIF format:
```
data_IrW2
_cell_length_a 2.723
_cell_length_b 4.067
_cell_length_c 18.596
_cell_angle_alpha 90.00
_cell_angle_beta 90.00
_cell_angle_gamma 90.00
_symmetry_space_group_name_H-M 'I m m a'
_symmetry_Int_Tables_number 74
_symmetry_space_group_name_Hall '-I 2b 2'
loop_
_atom_site_label
_atom_site_type_symbol
_atom_site_fract_x
_atom_site_fract_y
_atom_site_fract_z
Ir1 Ir 0.000 0.250 0.117
W1 W 0.000 0.250 0.541
W2 W 0.000 0.250 0.685
```

Summary:
Relative energy among the computed polymorphs, meV per atom: 605

[12]
# IrW2

A relaxed IrW2 crystal (PBE, Alexandria via LeMat-Bulk).

The structure in CIF format:
```
data_IrW2
_cell_length_a 6.6502
_cell_length_b 6.6502
_cell_length_c 3.9046
_cell_angle_alpha 90.00
_cell_angle_beta 90.00
_cell_angle_gamma 120.00
_symmetry_space_group_name_H-M 'P -6 2 m'
_symmetry_Int_Tables_number 189
_symmetry_space_group_name_Hall 'P -6 -2'
loop_
_atom_site_label
_atom_site_type_symbol
_atom_site_fract_x
_atom_site_fract_y
_atom_site_fract_z
Ir1 Ir 0.0000 0.0000 0.0000
Ir2 Ir 0.3333 0.6667 0.5000
W1 W 0.0000 0.2568 0.5000
W2 W 0.0000 0.5981 0.0000
```

Summary:
Relative energy among the computed polymorphs, meV per atom: 415

[13]
# IrW2

A relaxed IrW2 crystal (PBE, Alexandria via LeMat-Bulk).

The structure in CIF format:
```
data_IrW2
_cell_length_a 5.1890
_cell_length_b 5.1890
_cell_length_c 8.4185
_cell_angle_alpha 90.00
_cell_angle_beta 90.00
_cell_angle_gamma 120.00
_symmetry_space_group_name_H-M 'P 63/m m c'
_symmetry_Int_Tables_number 194
_symmetry_space_group_name_Hall '-P 6c 2c'
loop_
_atom_site_label
_atom_site_type_symbol
_atom_site_fract_x
_atom_site_fract_y
_atom_site_fract_z
Ir1 Ir 0.3333 0.6667 0.0666
W1 W 0.0000 0.0000 0.0000
W2 W 0.1701 0.3402 0.7500
```

Summary:
Relative energy among the computed polymorphs, meV per atom: 511

[14]
# YIrW3

A relaxed YIrW3 crystal (PBE, Alexandria via LeMat-Bulk).

The structure in CIF format:
```
data_YIrW3
_cell_length_a 4.694
_cell_length_b 4.694
_cell_length_c 4.694
_cell_angle_alpha 90.00
_cell_angle_beta 90.00
_cell_angle_gamma 90.00
_symmetry_space_group_name_H-M 'P m -3 m'
_symmetry_Int_Tables_number 221
_symmetry_space_group_name_Hall '-P 4 2 3'
loop_
_atom_site_label
_atom_site_type_symbol
_atom_site_fract_x
_atom_site_fract_y
_atom_site_fract_z
Y1 Y 0.000 0.000 0.000
Ir1 Ir 0.500 0.500 0.500
W1 W 0.000 0.000 0.500
```

Summary:
Relative energy among the computed polymorphs, meV per atom: 1846

What formation energy from the elements values result from the calculations? In sequence: 9.1 400.8 -160.4 332.7 33.5 225.3 1043.4 -277.1 65.9 -60.6 498.9 308.3 404.9 3228.4 meV/atom.